! ZrGePd | Alexandria via LeMat-Bulk | PBEsol | optimized geometry; values from VASP
! E ... -7.6408 eV/atom
! Space-group type ... Pnma
! Formation enthalpy at 0 K ... -0.9783 eV/atom
&SYSTEM
  ibrav = 0, nat = 12, ntyp = 3
/
ATOMIC_SPECIES
Ge 72.64 Ge.upf
Zr 91.22 Zr.upf
Pd 106.42 Pd.upf
CELL_PARAMETERS angstrom
-3.491 1.623 0.810
-3.059 -5.310 -2.544
0.051 -3.341 6.915
ATOMIC_POSITIONS angstrom
Ge -3.367 -0.507 0.833
Ge -4.883 -4.008 1.312
Ge -3.131 -6.522 4.348
Ge -1.615 -3.021 3.869
Zr -2.485 -3.024 0.127
Zr -5.550 -6.219 2.870
Zr -0.948 -0.810 2.311
Zr -4.014 -4.005 5.054
Pd -5.241 -3.545 -1.157
Pd -3.692 -2.155 2.733
Pd -2.806 -4.874 2.448
Pd -1.257 -3.484 6.338

! PmGe3 | Alexandria via LeMat-Bulk | PBEsol | optimized geometry; values from VASP
! E ... -5.4510 eV/atom
! Space-group type ... P6_3/mmc
! Formation enthalpy at 0 K ... -0.4626 eV/atom
&SYSTEM
  ibrav = 0, nat = 8, ntyp = 2
/
ATOMIC_SPECIES
Ge 72.64 Ge.upf
Pm 145.00 Pm.upf
CELL_PARAMETERS angstrom
-1.996 4.164 -1.838
2.198 -1.398 -5.555
-5.577 -1.937 1.669
ATOMIC_POSITIONS angstrom
Ge -1.671 2.428 -2.765
Ge -3.560 0.563 -4.938
Ge -0.441 1.647 -5.872
Ge -3.705 -1.598 -2.958
Ge -1.815 0.267 -0.785
Ge -4.934 -0.817 0.148
Pm -0.893 -0.536 -3.606
Pm -4.482 1.366 -2.117

! Pm2ZnGe | Alexandria via LeMat-Bulk | PBEsol | optimized geometry; values from VASP
! E ... -4.7500 eV/atom
! Space-group type ... Fm-3m
! Formation enthalpy at 0 K ... -0.5515 eV/atom
&SYSTEM
  ibrav = 0, nat = 4, ntyp = 3
/
ATOMIC_SPECIES
Ge 72.64 Ge.upf
Zn 65.41 Zn.upf
Pm 145.00 Pm.upf
CELL_PARAMETERS angstrom
-2.778 4.173 -0.714
-5.021 -0.163 0.633
-2.129 2.331 3.958
ATOMIC_POSITIONS angstrom
Ge -4.964 3.171 1.939
Zn 0.000 0.000 0.000
Pm -7.446 4.756 2.909
Pm -2.482 1.585 0.970

! Pr3Ge5 | Alexandria via LeMat-Bulk | PBEsol | optimized geometry; values from VASP
! E ... -5.8290 eV/atom
! Space-group type ... Fdd2
! Formation enthalpy at 0 K ... -0.7979 eV/atom
&SYSTEM
  ibrav = 0, nat = 16, ntyp = 2
/
ATOMIC_SPECIES
Pr 140.91 Pr.upf
Ge 72.64 Ge.upf
CELL_PARAMETERS angstrom
-5.010 0.820 3.030
0.616 -1.996 7.326
0.068 8.643 3.542
ATOMIC_POSITIONS angstrom
Pr -2.206 2.123 7.272
Pr -3.913 5.206 9.465
Pr -0.463 1.262 1.737
Pr -3.768 7.653 6.159
Pr -2.154 4.487 3.876
Pr -0.627 -1.037 5.011
Ge -2.515 1.388 4.272
Ge -0.700 6.744 5.514
Ge -4.318 2.061 9.760
Ge -0.786 4.485 8.867
Ge -1.370 5.882 10.975
Ge -2.839 -0.026 9.318
Ge -2.219 5.148 6.885
Ge -0.101 2.295 4.566
Ge 0.635 2.338 9.067
Ge -3.465 -0.371 5.906

! PrGe | Alexandria via LeMat-Bulk | PBEsol | optimized geometry; values from VASP
! E ... -5.9463 eV/atom
! Space-group type ... Cmcm
! Formation enthalpy at 0 K ... -0.8845 eV/atom
&SYSTEM
  ibrav = 0, nat = 4, ntyp = 2
/
ATOMIC_SPECIES
Pr 140.91 Pr.upf
Ge 72.64 Ge.upf
CELL_PARAMETERS angstrom
-3.073 -2.257 -1.303
2.837 -3.319 -0.944
0.746 -3.684 4.623
ATOMIC_POSITIONS angstrom
Pr 0.046 -6.473 1.758
Pr 0.463 -2.786 0.619
Ge 0.426 -5.332 -1.114
Ge 0.084 -3.927 3.491

! PrGe | Alexandria via LeMat-Bulk | PBEsol | optimized geometry; values from VASP
! E ... -5.9460 eV/atom
! Space-group type ... Pnma
! Formation enthalpy at 0 K ... -0.8843 eV/atom
&SYSTEM
  ibrav = 0, nat = 8, ntyp = 2
/
ATOMIC_SPECIES
Pr 140.91 Pr.upf
Ge 72.64 Ge.upf
CELL_PARAMETERS angstrom
-0.512 -3.710 1.482
5.454 0.203 2.391
-3.161 3.207 6.937
ATOMIC_POSITIONS angstrom
Pr -0.188 1.333 6.009
Pr 1.970 -1.633 4.800
Pr 1.845 0.024 8.907
Pr -0.063 -0.324 1.903
Ge 2.892 0.973 6.171
Ge -1.110 -1.273 4.639
Ge -1.432 0.377 8.659
Ge 3.213 -0.677 2.150